# 1
! HoRu2C PBE-GGA relaxed; values from VASP
! - Space group: Cmmm (65)
! - Distance to the lowest polymorph of the same formula: 0 meV/atom
! - DFT formation energy: -0.080 eV per atom
&SYSTEM
  ibrav = 0, nat = 8, ntyp = 3
/
ATOMIC_SPECIES
Ho 164.93 Ho.upf
Ru 101.07 Ru.upf
C 12.01 C.upf
ATOMIC_POSITIONS angstrom
Ho 0.000 0.000 0.000
Ho 2.409 3.986 0.000
Ru 0.000 2.682 1.584
Ru 0.000 5.289 1.584
Ru 2.409 1.304 1.584
Ru 2.409 6.668 1.584
C 0.000 3.986 0.000
C 2.409 0.000 0.000
CELL_PARAMETERS angstrom
4.818 0.000 0.000
0.000 7.972 0.000
0.000 0.000 3.168

***

# 2
! BeTePb2 PBE-GGA relaxed; values from VASP
! - Space group: Cmmm (65)
! - Distance to the lowest polymorph of the same formula: 308 meV/atom
! - Raw formation energy: 0.461 eV/atom
&SYSTEM
  ibrav = 0, nat = 8, ntyp = 3
/
ATOMIC_SPECIES
Be 9.01 Be.upf
Te 127.60 Te.upf
Pb 207.20 Pb.upf
ATOMIC_POSITIONS angstrom
Be 0.000 0.000 0.000
Be 3.515 4.016 0.000
Te 0.000 4.016 0.000
Te 3.515 0.000 0.000
Pb 1.757 2.008 1.944
Pb 1.757 6.024 1.944
Pb 5.272 2.008 1.944
Pb 5.272 6.024 1.944
CELL_PARAMETERS angstrom
7.029 0.000 0.000
0.000 8.032 0.000
0.000 0.000 3.887

***

# 3
! CeDyPaGa PBE-GGA relaxed; values from VASP
! - Space group: F-43m (216)
! - DFT formation energy: 0.089 eV per atom
&SYSTEM
  ibrav = 0, nat = 16, ntyp = 4
/
ATOMIC_SPECIES
Ce 140.12 Ce.upf
Dy 162.50 Dy.upf
Pa 231.04 Pa.upf
Ga 69.72 Ga.upf
ATOMIC_POSITIONS angstrom
Ce 0.000 0.000 0.000
Ce 0.000 3.678 3.678
Ce 3.678 0.000 3.678
Ce 3.678 3.678 0.000
Dy 0.000 0.000 3.678
Dy 0.000 3.678 0.000
Dy 3.678 0.000 0.000
Dy 3.678 3.678 3.678
Pa 1.839 1.839 5.517
Pa 1.839 5.517 1.839
Pa 5.517 1.839 1.839
Pa 5.517 5.517 5.517
Ga 1.839 1.839 1.839
Ga 1.839 5.517 5.517
Ga 5.517 1.839 5.517
Ga 5.517 5.517 1.839
CELL_PARAMETERS angstrom
7.356 0.000 0.000
0.000 7.356 0.000
0.000 0.000 7.356

***

# 4
! Na2CaTe2 PBE-GGA relaxed; values from VASP
! - Space group: Pbcm (57)
! - Distance to the lowest polymorph of the same formula: 0 meV/atom
! - Raw formation energy: -1.111 eV/atom
&SYSTEM
  ibrav = 0, nat = 20, ntyp = 3
/
ATOMIC_SPECIES
Na 22.99 Na.upf
Ca 40.08 Ca.upf
Te 127.60 Te.upf
ATOMIC_POSITIONS angstrom
Na 0.125 1.923 0.000
Na 0.125 1.923 3.864
Na 3.205 5.770 0.000
Na 3.205 5.770 3.864
Na 8.073 1.923 0.000
Na 8.073 1.923 3.864
Na 11.153 5.770 0.000
Na 11.153 5.770 3.864
Ca 4.247 1.923 0.000
Ca 4.247 1.923 3.864
Ca 7.030 5.770 0.000
Ca 7.030 5.770 3.864
Te 1.847 0.253 1.932
Te 1.847 3.593 5.796
Te 4.902 4.239 1.932
Te 4.902 7.301 5.796
Te 6.376 0.392 1.932
Te 6.376 3.454 5.796
Te 9.430 4.100 1.932
Te 9.430 7.440 5.796
CELL_PARAMETERS angstrom
11.277 0.000 0.000
0.000 7.693 0.000
0.000 0.000 7.727

***

# 5
! CaTm4Se6 PBE-GGA relaxed; values from VASP
! - Space group: Cmcm (63)
! - Raw formation energy: -1.823 eV/atom
&SYSTEM
  ibrav = 0, nat = 22, ntyp = 3
/
ATOMIC_SPECIES
Ca 40.08 Ca.upf
Tm 168.93 Tm.upf
Se 78.96 Se.upf
ATOMIC_POSITIONS angstrom
Ca 2.006 4.531 15.528
Ca 2.006 -4.531 5.176
Tm 2.006 5.407 2.670
Tm 2.006 5.407 7.682
Tm 2.006 1.841 0.813
Tm 2.006 1.841 9.538
Tm 2.006 -1.841 11.165
Tm 2.006 -1.841 19.890
Tm 2.006 -5.407 13.022
Tm 2.006 -5.407 18.034
Se 0.000 0.000 0.000
Se 0.000 0.000 10.352
Se 2.006 4.206 5.176
Se 2.006 3.052 12.159
Se 2.006 3.052 18.896
Se 2.006 0.624 3.365
Se 2.006 0.624 6.987
Se 2.006 -0.624 13.717
Se 2.006 -0.624 17.339
Se 2.006 -3.052 1.808
Se 2.006 -3.052 8.544
Se 2.006 -4.206 15.528
CELL_PARAMETERS angstrom
2.006 -6.626 0.000
2.006 6.626 0.000
0.000 0.000 20.704

***

# 6
! ZrH2Pd2 PBE-GGA relaxed; values from VASP
! - Space group: I4/mmm (139)
! - Distance to the lowest polymorph of the same formula: 0 meV/atom
&SYSTEM
  ibrav = 0, nat = 10, ntyp = 3
/
ATOMIC_SPECIES
Zr 91.22 Zr.upf
H 1.01 H.upf
Pd 106.42 Pd.upf
ATOMIC_POSITIONS angstrom
Zr 0.000 0.000 0.000
Zr 1.816 1.816 4.355
H 0.000 1.816 2.178
H 0.000 1.816 6.533
H 1.816 0.000 2.178
H 1.816 0.000 6.533
Pd 0.000 0.000 2.916
Pd 0.000 0.000 5.795
Pd 1.816 1.816 1.440
Pd 1.816 1.816 7.271
CELL_PARAMETERS angstrom
3.633 0.000 0.000
0.000 3.633 0.000
0.000 0.000 8.711

***

| no. | final energy (eV for the cell shown) |
| --- | --- |
| 1 | -65.35 |
| 2 | -24.88 |
| 3 | -90.81 |
| 4 | -65.92 |
| 5 | -121.70 |
| 6 | -55.06 |